1.
VASP calculation (PBE) on a geometry-optimized ErZrTi2 structure.

Structure (CIF):
```
data_ErZrTi2
_space_group_name_H-M_alt 'P 1'
_space_group_IT_number 1
_cell_length_a 3.6103
_cell_length_b 3.6103
_cell_length_c 6.7132
_cell_angle_alpha 90.00
_cell_angle_beta 90.00
_cell_angle_gamma 90.00
loop_
_space_group_symop_operation_xyz
'x,y,z'
loop_
_atom_site_label
_atom_site_fract_x
_atom_site_fract_y
_atom_site_fract_z
Ti1 0.0000 0.0000 0.7944
Ti2 0.0000 0.0000 0.2056
Zr1 0.5000 0.5000 0.0000
Er1 0.5000 0.5000 0.5000
```

Properties
Energy of formation = 0.52 eV/f.u.

2.
VASP calculation (PBE) on a geometry-optimized PuTiTe2O structure.

Structure (CIF):
```
data_PuTiTe2O
_space_group_name_H-M_alt 'P 1'
_space_group_IT_number 1
_cell_length_a 3.9146
_cell_length_b 3.9146
_cell_length_c 14.1981
_cell_angle_alpha 90.00
_cell_angle_beta 90.00
_cell_angle_gamma 90.00
loop_
_space_group_symop_operation_xyz
'x,y,z'
loop_
_atom_site_label
_atom_site_fract_x
_atom_site_fract_y
_atom_site_fract_z
Pu1 0.5000 0.0000 0.5853
Pu2 0.0000 0.5000 0.4147
Ti1 0.5000 0.0000 0.0789
Ti2 0.0000 0.5000 0.9211
Te1 0.0000 0.5000 0.7125
Te2 0.0000 0.5000 0.1160
Te3 0.5000 0.0000 0.8840
Te4 0.5000 0.0000 0.2875
O1 0.0000 0.0000 0.5000
O2 0.5000 0.5000 0.5000
```

Properties
Formation energy from raw total energies = -35.37 kcal/mol of atoms

3.
VASP calculation (PBE) on a geometry-optimized SrSb7Pb12 structure.

Structure (CIF):
```
data_SrSb7Pb12
_space_group_name_H-M_alt 'P 1'
_space_group_IT_number 1
_cell_length_a 9.1205
_cell_length_b 9.5803
_cell_length_c 9.5803
_cell_angle_alpha 69.58
_cell_angle_beta 71.50
_cell_angle_gamma 108.50
loop_
_space_group_symop_operation_xyz
'x,y,z'
loop_
_atom_site_label
_atom_site_fract_x
_atom_site_fract_y
_atom_site_fract_z
Sr1 0.0000 0.0000 0.0000
Sb1 0.8137 0.1922 0.1868
Sb2 0.9995 0.8132 0.3790
Sb3 0.3785 0.3790 0.8078
Sb4 0.5000 0.0000 0.0000
Sb5 0.6215 0.6210 0.1922
Sb6 0.0005 0.1868 0.6210
Sb7 0.1863 0.8078 0.8132
Pb1 0.9253 0.5259 0.2096
Pb2 0.8651 0.7904 0.7355
Pb3 0.5960 0.3492 0.0365
Pb4 0.3674 0.9635 0.3857
Pb5 0.6006 0.7355 0.4741
Pb6 0.7532 0.3857 0.6508
Pb7 0.2468 0.6143 0.3492
Pb8 0.3995 0.2645 0.5259
Pb9 0.6326 0.0365 0.6143
Pb10 0.4040 0.6508 0.9635
Pb11 0.1349 0.2096 0.2645
Pb12 0.0747 0.4741 0.7904
```

Properties
Formation energy from raw total energies = -1.39 kcal/mol of atoms

4.
VASP calculation (PBE) on a geometry-optimized TaSbPOs2 structure.

Structure (CIF):
```
data_TaSbPOs2
_space_group_name_H-M_alt 'P 1'
_space_group_IT_number 1
_cell_length_a 4.8603
_cell_length_b 4.6618
_cell_length_c 4.8603
_cell_angle_alpha 90.00
_cell_angle_beta 90.00
_cell_angle_gamma 90.00
loop_
_space_group_symop_operation_xyz
'x,y,z'
loop_
_atom_site_label
_atom_site_fract_x
_atom_site_fract_y
_atom_site_fract_z
Sb1 0.5000 0.5000 0.5000
Os1 0.0000 0.0000 0.5000
Os2 0.5000 0.0000 0.0000
P1 0.0000 0.5000 0.0000
Ta1 0.0000 0.0000 0.0000
```

Properties
Formation energy from raw total energies = 35.40 kcal/mol of atoms

5.
VASP calculation (PBE) on a geometry-optimized SrGeAs2Se8 structure.

Structure (CIF):
```
data_SrGeAs2Se8
_space_group_name_H-M_alt 'P 1'
_space_group_IT_number 1
_cell_length_a 6.5555
_cell_length_b 6.5555
_cell_length_c 9.1381
_cell_angle_alpha 90.00
_cell_angle_beta 90.00
_cell_angle_gamma 120.00
loop_
_space_group_symop_operation_xyz
'x,y,z'
loop_
_atom_site_label
_atom_site_fract_x
_atom_site_fract_y
_atom_site_fract_z
Sr1 0.0000 0.0000 0.0000
Ge1 0.0000 0.0000 0.5000
As1 0.6667 0.3333 0.2505
As2 0.3333 0.6667 0.7495
Se1 0.3333 0.6667 0.0017
Se2 0.2833 0.2881 0.3046
Se3 0.7119 0.9953 0.3046
Se4 0.6667 0.3333 0.9983
Se5 0.2881 0.0047 0.6954
Se6 0.7167 0.7119 0.6954
Se7 0.9953 0.2833 0.6954
Se8 0.0047 0.7167 0.3046
```

Properties
Formation energy from raw total energies = -6.47 kcal/mol of atoms

6.
VASP calculation (PBE) on a geometry-optimized Pm7Sb2N2 structure.

Structure (CIF):
```
data_Pm7Sb2N2
_space_group_name_H-M_alt 'P 1'
_space_group_IT_number 1
_cell_length_a 6.9247
_cell_length_b 6.4499
_cell_length_c 6.9247
_cell_angle_alpha 85.77
_cell_angle_beta 109.11
_cell_angle_gamma 94.23
loop_
_space_group_symop_operation_xyz
'x,y,z'
loop_
_atom_site_label
_atom_site_fract_x
_atom_site_fract_y
_atom_site_fract_z
Pm1 0.9222 0.2250 0.4917
Pm2 0.4917 0.7750 0.9222
Pm3 0.0778 0.7750 0.5083
Pm4 0.5083 0.2250 0.0778
Pm5 0.0000 0.0000 0.0000
Pm6 0.5767 0.7814 0.4233
Pm7 0.4233 0.2186 0.5767
Sb1 0.8114 0.5000 0.8114
Sb2 0.1886 0.5000 0.1886
N1 0.7767 0.9694 0.2233
N2 0.2233 0.0306 0.7767
```

Properties
Formation energy from raw total energies = -15.46 kcal/mol of atoms